Computed, not measured: a relaxed structure of NiTeSF2 at the GGA+U level of DFT.

Lattice parameters (Å, degrees): 3.8504 6.2443 3.8504 90.00 90.00 90.00
Each line ends with the local moment (μB).
Atoms (fractional coordinates):
Ni  0.0000  0.0000  0.0000  1.81
S  0.5000  0.5000  0.5000  -0.04
Te  0.0000  0.5000  0.0000  0.02
F  0.0000  0.0000  0.5000  0.04
F  0.5000  0.0000  0.0000  0.04

Calculated values
- calculated total energy (eV per cell) = -18.477